Record 1
A relaxed structure of La5NiAu2, computed with PBE-GGA.

The calculation puts the calculated total energy at -81.9 eV/cell.

It has space group Pbam (No. 55), with a = 9.3030 Å, b = 12.5246 Å, c = 4.0782 Å, α = 90.00°, β = 90.00° and γ = 90.00°. The distinct sites, in fractional coordinates, are La at (0.0000, 0.0000, 0.0000), La at (0.1494, 0.2932, 0.0000), La at (0.1757, 0.5725, 0.5000), Ni at (0.0000, 0.5000, 0.0000) and Au at (0.0722, 0.8210, 0.5000).

---

Record 2
A relaxed structure of Er2AlSi3, computed with PBE-GGA.

As for the formation energy without anion corrections: -0.58 eV per atom.

It has space group Pnma (No. 62), with a = 6.6116 Å, b = 4.0865 Å, c = 17.3728 Å, α = 90.00°, β = 90.00° and γ = 90.00°. The distinct sites, in fractional coordinates, are Er at (0.1678, 0.2500, 0.0844), Er at (0.1684, 0.2500, 0.2971), Al at (0.0450, 0.7500, 0.4345), Si at (0.0204, 0.2500, 0.8195), Si at (0.1543, 0.2500, 0.6907) and Si at (0.2496, 0.2500, 0.4643).

---

Record 3
A relaxed structure of CrTc2Ag, computed with PBE-GGA.

For the energy above the most stable polymorph in this dataset, the calculation gives 68 kJ/mol of formula units.

It has space group P4/mmm (No. 123), with a = 3.8235 Å, b = 3.8235 Å, c = 3.9926 Å, α = 90.00°, β = 90.00° and γ = 90.00°. The distinct sites, in fractional coordinates, are Cr at (0.0000, 0.0000, 0.0000), Tc at (0.0000, 0.5000, 0.5000) and Ag at (0.5000, 0.5000, 0.0000).

---

Record 4
A relaxed structure of LiCuNi2, computed with PBE-GGA.

The calculation puts the calculated total energy at -17.4 eV/cell.

It has space group Pmmm (No. 47), with a = 2.4367 Å, b = 3.7813 Å, c = 4.9152 Å, α = 90.00°, β = 90.00° and γ = 90.00°. The distinct sites, in fractional coordinates, are Li at (0.0000, 0.0000, 0.0000), Cu at (0.0000, 0.0000, 0.5000) and Ni at (0.5000, 0.5000, 0.2516).

---

Record 5
A relaxed structure of InBSN2, computed with PBE-GGA.

For the energy above the most stable polymorph in this dataset, the calculation gives 0 kJ/mol of formula units. As for the formation energy without anion corrections: 1.09 eV per atom.

It has space group P4/mmm (No. 123), with a = 3.3774 Å, b = 3.3774 Å, c = 6.5584 Å, α = 90.00°, β = 90.00° and γ = 90.00°. The distinct sites, in fractional coordinates, are In at (0.0000, 0.0000, 0.0000), B at (0.5000, 0.5000, 0.5000), S at (0.5000, 0.5000, 0.0000) and N at (0.0000, 0.5000, 0.5000).

---

Record 6
A relaxed structure of Li2PmInSe4, computed with PBE-GGA.

As for the formation energy without anion corrections: -1.21 eV per atom.

It has space group P2/m (No. 10), with a = 6.9486 Å, b = 4.0729 Å, c = 7.0098 Å, α = 90.00°, β = 109.45° and γ = 90.00°. The distinct sites, in fractional coordinates, are Li at (0.0000, 0.0000, 0.0000), Li at (0.0000, 0.5000, 0.5000), Pm at (0.5000, 0.0000, 0.5000), In at (0.5000, 0.5000, 0.0000), Se at (0.2372, 0.5000, 0.2446) and Se at (0.2517, 0.0000, 0.7697).

---

Record 7
A relaxed structure of InAgP2, computed with PBE-GGA.

The calculation puts the calculated total energy at -42.9 eV/cell.

It has space group R-3m (No. 166, hexagonal axes), with a = 3.0725 Å, b = 3.0725 Å, c = 27.9328 Å, α = 90.00°, β = 90.00° and γ = 120.00°. The distinct sites, in fractional coordinates, are In at (0.0000, 0.0000, 0.0000), Ag at (0.0000, 0.0000, 0.5000) and P at (0.0000, 0.0000, 0.2405).

---

Record 8
A relaxed structure of HoPHOs, computed with PBE-GGA.

The calculation puts the calculated total energy at -55.4 eV/cell.

It has space group P4/nmm (No. 129, origin choice 2), with a = 4.0209 Å, b = 4.0209 Å, c = 7.0717 Å, α = 90.00°, β = 90.00° and γ = 90.00°. The distinct sites, in fractional coordinates, are Ho at (0.2500, 0.2500, 0.1608), P at (0.2500, 0.2500, 0.6758), H at (0.2500, 0.7500, 0.0000) and Os at (0.2500, 0.7500, 0.5000).

---

Record 9
A relaxed structure of SrMg3W, computed with PBE-GGA.

For the energy above the most stable polymorph in this dataset, the calculation gives 785 kJ/mol of formula units.

It has space group Pm-3m (No. 221), with a = 5.3027 Å, b = 5.3027 Å, c = 5.3027 Å, α = 90.00°, β = 90.00° and γ = 90.00°. The distinct sites, in fractional coordinates, are Sr at (0.0000, 0.0000, 0.0000), Mg at (0.0000, 0.0000, 0.5000) and W at (0.5000, 0.5000, 0.5000).

---

Record 10
A relaxed structure of KSr2Mn, computed with PBE-GGA.

For the energy above the most stable polymorph in this dataset, the calculation gives 67 kJ/mol of formula units.

It has space group Fm-3m (No. 225), with a = 8.7198 Å, b = 8.7198 Å, c = 8.7198 Å, α = 90.00°, β = 90.00° and γ = 90.00°. The distinct sites, in fractional coordinates, are K at (0.0000, 0.0000, 0.0000), Sr at (0.2500, 0.2500, 0.2500) and Mn at (0.0000, 0.0000, 0.5000).

---

Record 11
A relaxed structure of KZn2Os, computed with PBE-GGA.

For the energy above the most stable polymorph in this dataset, the calculation gives 76 kJ/mol of formula units.

It has space group R3m (No. 160, hexagonal axes), with a = 2.8259 Å, b = 2.8259 Å, c = 30.7960 Å, α = 90.00°, β = 90.00° and γ = 120.00°. The distinct sites, in fractional coordinates, are K at (0.0000, 0.0000, 0.0000), Zn at (0.0000, 0.0000, 0.2351), Zn at (0.0000, 0.0000, 0.4930) and Os at (0.0000, 0.0000, 0.7584).

---

Record 12
A relaxed structure of MgTa2P, computed with PBE-GGA.

For the energy above the most stable polymorph in this dataset, the calculation gives 42 kJ/mol of formula units.

It has space group Imm2 (No. 44), with a = 3.2003 Å, b = 4.6112 Å, c = 9.1907 Å, α = 90.00°, β = 90.00° and γ = 90.00°. The distinct sites, in fractional coordinates, are Mg at (0.0000, 0.0000, 0.0000), Ta at (0.0000, 0.0000, 0.4410), Ta at (0.0000, 0.5000, 0.2162) and P at (0.0000, 0.5000, 0.7339).

---

Record 13
A relaxed structure of PaVAu, computed with PBE-GGA.

For the energy above the most stable polymorph in this dataset, the calculation gives 232 kJ/mol of formula units.

It has space group C2/m (No. 12), with a = 4.6022 Å, b = 13.4119 Å, c = 5.6147 Å, α = 90.00°, β = 92.88° and γ = 90.00°. The distinct sites, in fractional coordinates, are Pa at (0.0000, 0.1494, 0.0000), V at (0.2296, 0.0000, 0.1354) and Au at (0.2403, 0.5000, 0.3692).